Entry 1:
The following is a DFT calculation (GGA-PBE) of a relaxed RbTl2SnI6 crystal.

Summary:
- crystal system = triclinic
- symmetry = No. 1
- total magnetic moment (μB per cell) = 0.00
- ΔE_f (raw) (eV per atom) = -0.68

Lattice parameters (Å, degrees): 8.7091 8.7070 9.1184 61.44 61.43 59.95
Last column: nearest neighbours and their distance in Å.
Atoms (fractional coordinates):
Rb: 0.8162 0.8163 0.5513  6 I 3.64-3.83
Tl: 0.5217 0.5215 0.4351  6 I 3.50-3.52
Tl: 0.0071 0.0071 0.9788  6 I 3.48-3.61
Sn: 0.3275 0.3274 0.0178  6 I 3.06-3.07
I: 0.5526 0.2408 0.2402  1 Sn 3.06
I: 0.2406 0.9663 0.2402  1 Sn 3.06
I: 0.9663 0.5530 0.2402  1 Sn 3.06
I: 0.3986 0.6944 0.7703  1 Sn 3.07
I: 0.6946 0.1362 0.7707  1 Sn 3.07
I: 0.1365 0.3987 0.7708  1 Sn 3.07

=====

Entry 2:
The following is a DFT calculation (GGA-PBE) of a relaxed Rb2TlSnI6 crystal.

Summary:
- excess energy over the best structure of this formula in the dataset (meV/atom) = 0
- crystal system = monoclinic
- symmetry = No. 14
- total magnetic moment (μB per cell) = 0.00
- ΔE_f (raw) (eV per atom) = -0.88

Lattice parameters (Å, degrees): 8.5188 9.0240 12.3208 90.00 90.12 90.00
Last column: nearest neighbours and their distance in Å.
Atoms (fractional coordinates):
Rb: 0.0286 0.9185 0.2482  6 I 3.75-3.97
Rb: 0.5286 0.5815 0.7482  6 I 3.75-3.97
Rb: 0.9714 0.0815 0.7518  6 I 3.75-3.97
Rb: 0.4714 0.4185 0.2518  6 I 3.75-3.97
Tl: 0.5000 0.0000 0.0000  6 I 3.35-3.41
Tl: 0.0000 0.5000 0.5000  6 I 3.35-3.41
Sn: 0.5000 0.0000 0.5000  6 I 3.05-3.07
Sn: 0.0000 0.5000 0.0000  6 I 3.05-3.07
I: 0.2930 0.6843 0.0509  1 Sn 3.06, 1 Tl 3.41
I: 0.7930 0.8157 0.5509  1 Sn 3.06, 1 Tl 3.41
I: 0.7070 0.3157 0.9491  1 Sn 3.06, 1 Tl 3.41
I: 0.2070 0.1843 0.4491  1 Sn 3.06, 1 Tl 3.41
I: 0.3201 0.7124 0.4502  1 Sn 3.07, 1 Tl 3.39
I: 0.8201 0.7876 0.9502  1 Sn 3.07, 1 Tl 3.39
I: 0.6799 0.2876 0.5498  1 Sn 3.07, 1 Tl 3.39
I: 0.1799 0.2124 0.0498  1 Sn 3.07, 1 Tl 3.39
I: 0.9006 0.5210 0.2371  1 Sn 3.05, 1 Tl 3.35
I: 0.4006 0.9790 0.7371  1 Sn 3.05, 1 Tl 3.35
I: 0.0994 0.4790 0.7629  1 Sn 3.05, 1 Tl 3.35
I: 0.5994 0.0210 0.2629  1 Sn 3.05, 1 Tl 3.35

=====

Entry 3:
The following is a DFT calculation (GGA-PBE) of a relaxed Rb3TlSn2I9 crystal.

Summary:
- crystal system = trigonal
- symmetry = No. 164
- total magnetic moment (μB per cell) = 0.00
- ΔE_f (raw) (eV per atom) = -0.87

Lattice parameters (Å, degrees): 8.6892 8.6892 11.5754 90.00 90.00 120.00
Last column: nearest neighbours and their distance in Å.
Atoms (fractional coordinates):
Rb: 0.3333 0.6667 0.7421  3 I 3.90
Rb: 0.0000 0.0000 0.0000  12 I 4.33-4.34
Rb: 0.6667 0.3333 0.2579  3 I 3.90
Tl: 0.0000 0.0000 0.5000  6 I 3.35
Sn: 0.3333 0.6667 0.1685  6 I 2.98-3.18
Sn: 0.6667 0.3333 0.8315  6 I 2.98-3.18
I: 0.8342 0.1658 0.6938  1 Sn 2.98
I: 0.8342 0.6685 0.6938  1 Sn 2.98
I: 0.3315 0.1658 0.6938  1 Sn 2.98
I: 0.6685 0.8342 0.3062  1 Sn 2.98
I: 0.1658 0.3315 0.3062  1 Sn 2.98
I: 0.1658 0.8342 0.3062  1 Sn 2.98
I: 0.5000 0.0000 0.0000  2 Sn 3.18
I: 0.0000 0.5000 0.0000  2 Sn 3.18
I: 0.5000 0.5000 0.0000  2 Sn 3.18

=====

Entry 4:
The following is a DFT calculation (GGA-PBE) of a relaxed Rb2TlSnI6 crystal.

Summary:
- excess energy over the best structure of this formula in the dataset (meV/atom) = 33
- crystal system = tetragonal
- symmetry = No. 139
- total magnetic moment (μB per cell) = 0.00
- ΔE_f (raw) (eV per atom) = -0.85

Lattice parameters (Å, degrees): 8.8854 8.8854 8.8711 59.95 59.95 90.00
Last column: nearest neighbours and their distance in Å.
Atoms (fractional coordinates):
I: 0.2585 0.2585 0.4830  1 Sn 3.03, 1 Tl 3.24
I: 0.7415 0.7415 0.5170  1 Sn 3.03, 1 Tl 3.24
I: 0.2588 0.2588 0.0000  1 Sn 3.03, 1 Tl 3.25
I: 0.7412 0.7412 0.0000  1 Sn 3.03, 1 Tl 3.25
I: 0.7412 0.2588 0.0000  1 Sn 3.03, 1 Tl 3.25
I: 0.2588 0.7412 0.0000  1 Sn 3.03, 1 Tl 3.25
Tl: 0.0000 0.0000 0.0000  6 I 3.24-3.25
Sn: 0.5000 0.5000 0.0000  6 I 3.03
Rb: 0.7500 0.2500 0.5000  12 I 4.44
Rb: 0.2500 0.7500 0.5000  12 I 4.44